Entry from the Alexandria database: a geometry-optimized RbZnSnMo2 structure (PBE).

Computed properties:
Energy of formation from the pure elements = 1506 meV/atom
Magnetic moment = 1.3899 μB per atom
Crystal system = tetragonal

a = 5.149 Å, b = 5.149 Å, c = 5.201 Å
α = 90.00°, β = 90.00°, γ = 90.00°
Space group P4/mmm (No. 123)
Inequivalent atoms, fractional coordinates:
1 Rb 0.000 0.000 0.000
2 Zn 0.500 0.500 0.500
3 Sn 0.500 0.500 0.000
4 Mo 0.000 0.500 0.500

---

Entry from the Alexandria database: a geometry-optimized RbSrMo3 structure (PBE).

Computed properties:
Energy of formation from the pure elements = 2957 meV/atom
Magnetic moment = 0.2590 μB per atom
Crystal system = cubic
Energy relative to the lowest polymorph listed for this composition = 0 meV/atom

a = 4.911 Å, b = 4.911 Å, c = 4.911 Å
α = 90.00°, β = 90.00°, γ = 90.00°
Space group Pm-3m (No. 221)
Inequivalent atoms, fractional coordinates:
1 Rb 0.000 0.000 0.000
2 Sr 0.500 0.500 0.500
3 Mo 0.000 0.000 0.500

---

Entry from the Alexandria database: a geometry-optimized RbSr2Mo structure (PBE).

Computed properties:
Energy of formation from the pure elements = 1387 meV/atom
Magnetic moment = 0.3367 μB per atom
Crystal system = tetragonal
Energy relative to the lowest polymorph listed for this composition = 382 meV/atom

a = 8.685 Å, b = 8.685 Å, c = 12.327 Å
α = 90.00°, β = 90.00°, γ = 90.00°
Space group I-42d (No. 122)
Inequivalent atoms, fractional coordinates:
1 Rb 0.000 0.000 0.000
2 Sr 0.001 0.750 0.625
3 Mo 0.000 0.000 0.500

---

Entry from the Alexandria database: a geometry-optimized RbSrMo3 structure (PBE).

Computed properties:
Energy of formation from the pure elements = 3046 meV/atom
Magnetic moment = 2.0645 μB per atom
Crystal system = cubic
Energy relative to the lowest polymorph listed for this composition = 90 meV/atom

a = 5.581 Å, b = 5.581 Å, c = 5.581 Å
α = 90.00°, β = 90.00°, γ = 90.00°
Space group Pm-3m (No. 221)
Inequivalent atoms, fractional coordinates:
1 Rb 0.000 0.000 0.000
2 Sr 0.500 0.500 0.500
3 Mo 0.000 0.500 0.500